The following is a DFT calculation (PBE) of a geometry-optimized Pm6NdEr2Sc structure.

Lattice parameters (Å, degrees): 8.9198 8.9198 9.3436 92.72 92.72 116.96
Element x y z (fractional)
Pm 0.0098 0.4441 0.8055
Pm 0.1232 0.7686 0.5535
Pm 0.2314 0.8768 0.9465
Pm 0.2892 0.5174 0.3894
Pm 0.4441 0.0098 0.3055
Pm 0.4826 0.7108 0.1106
Pm 0.5174 0.2892 0.8894
Pm 0.5559 0.9902 0.6945
Pm 0.7108 0.4826 0.6106
Pm 0.7686 0.1232 0.0535
Pm 0.8768 0.2314 0.4465
Pm 0.9902 0.5559 0.1945
Nd 0.0286 0.9714 0.2500
Nd 0.9714 0.0286 0.7500
Er 0.2081 0.3085 0.0514
Er 0.3085 0.2081 0.5514
Er 0.6915 0.7919 0.4486
Er 0.7919 0.6915 0.9486
Sc 0.4213 0.5787 0.7500
Sc 0.5787 0.4213 0.2500

## Properties
Its energy of formation from the pure elements is 0.13 eV per atom. For the total magnetization, the calculation gives 0.000 μB per atom.

The following is a DFT calculation (PBE) of a geometry-optimized LiCaMg6 structure.

Lattice parameters (Å, degrees): 5.2933 6.6400 6.6400 58.19 90.00 90.00
Element x y z (fractional)
Li 0.0000 0.0000 0.0000
Ca 0.0000 0.5111 0.5111
Mg 0.0000 0.0091 0.5110
Mg 0.0000 0.5110 0.0091
Mg 0.5000 0.1597 0.6710
Mg 0.5000 0.1631 0.1631
Mg 0.5000 0.6710 0.1597
Mg 0.5000 0.6778 0.6778

## Properties
Its energy of formation from the pure elements is 0.00 eV per atom. For the total magnetization, the calculation gives 0.000 μB per atom.

The following is a DFT calculation (PBE) of a geometry-optimized CaZn2GaAg4 structure.

Lattice parameters (Å, degrees): 8.8826 8.8826 8.8826 29.84 29.84 29.84
Element x y z (fractional)
Ca 0.0000 0.0000 0.0000
Zn 0.2508 0.2508 0.2508
Zn 0.7492 0.7492 0.7492
Ga 0.5000 0.5000 0.5000
Ag 0.1292 0.1292 0.1292
Ag 0.3974 0.3974 0.3974
Ag 0.6026 0.6026 0.6026
Ag 0.8708 0.8708 0.8708

## Properties
Its energy of formation from the pure elements is -0.09 eV per atom. For the total magnetization, the calculation gives 0.000 μB per atom.

The following is a DFT calculation (PBE) of a geometry-optimized Tm3Cd2Ag3 structure.

Lattice parameters (Å, degrees): 10.3531 10.3531 10.3531 159.55 151.85 35.05
Element x y z (fractional)
Tm 0.0000 0.0000 0.0000
Tm 0.3726 0.8726 0.5000
Tm 0.6274 0.1274 0.5000
Cd 0.2391 0.2391 0.0000
Cd 0.7609 0.7609 0.0000
Ag 0.1226 0.6226 0.5000
Ag 0.5000 0.5000 0.0000
Ag 0.8774 0.3774 0.5000

## Properties
Its energy of formation from the pure elements is -0.27 eV per atom. For the total magnetization, the calculation gives 0.000 μB per atom.

The following is a DFT calculation (PBE) of a geometry-optimized Rb4HAu2 structure.

Lattice parameters (Å, degrees): 8.2190 7.8691 9.6810 90.00 107.25 90.00
Element x y z (fractional)
Rb 0.0121 0.0059 0.2511
Rb 0.0121 0.4941 0.2511
Rb 0.4327 0.2500 0.1190
Rb 0.4441 0.2500 0.6000
Rb 0.5559 0.7500 0.4000
Rb 0.5673 0.7500 0.8810
Rb 0.9879 0.5059 0.7489
Rb 0.9879 0.9941 0.7489
H 0.2556 0.2500 0.3177
H 0.7444 0.7500 0.6823
Au 0.2233 0.7500 0.5604
Au 0.2368 0.7500 0.0551
Au 0.7632 0.2500 0.9449
Au 0.7767 0.2500 0.4396

## Properties
The value obtained for the total energy is -2.14 eV/atom. For the total magnetization, the calculation gives 0.000 μB per atom.

The following is a DFT calculation (PBE) of a geometry-optimized PrO structure.

Lattice parameters (Å, degrees): 3.4734 3.4734 3.2667 90.00 90.00 120.00
Element x y z (fractional)
Pr 0.0000 0.0000 0.0000
O 0.6667 0.3333 0.5000

## Properties
The energy relative to the elements, uncorrected comes out at -470 kJ/mol of formula units. For the total magnetization, the calculation gives 0.189 μB per atom.

The following is a DFT calculation (PBE) of a geometry-optimized PaBiCl structure.

Lattice parameters (Å, degrees): 4.7575 4.7575 4.1444 90.00 90.00 120.00
Element x y z (fractional)
Pa 0.0000 0.0000 0.0000
Bi 0.6667 0.3333 0.5000
Cl 0.3333 0.6667 0.0000

## Properties
The energy relative to the elements, uncorrected comes out at -193 kJ/mol of formula units. For the total magnetization, the calculation gives 0.343 μB per atom.

The following is a DFT calculation (PBE) of a geometry-optimized KCr2Te structure.

Lattice parameters (Å, degrees): 5.0600 4.7593 5.8070 90.00 90.08 90.00
Element x y z (fractional)
K 0.0000 0.0000 0.0000
Cr 0.5003 0.5000 0.2489
Cr 0.4997 0.5000 0.7511
Te 0.5000 0.0000 0.5000

## Properties
The energy relative to the elements, uncorrected comes out at 226 kJ/mol of formula units. For the total magnetization, the calculation gives 2.460 μB per atom.